No. 1
{"formula": "ScAg2Pd2", "functional": "PBE", "state": "relaxed", "cell": [[-1.872, 1.872, 6.797], [1.872, -1.872, 6.797], [1.872, 1.872, -6.797]], "species": ["Sc", "Ag", "Ag", "Pd", "Pd"], "frac_coords": [[0.000, 0.000, 0.000], [0.250, 0.750, 0.500], [0.750, 0.250, 0.500], [0.404, 0.404, 0.000], [0.596, 0.596, 0.000]], "relative_energy_mev_per_atom": 43, "sg": "I4/mmm, No. 139", "e_form_ev_per_fu": -1.27, "dos_ef_per_ev_fu": 2.44, "e_tot_ev_per_atom": -4.7388}

No. 2
{"formula": "RbBa3Fe", "functional": "PBE", "state": "relaxed", "cell": [[6.406, 0.000, 0.000], [0.000, 6.406, 0.000], [0.000, 0.000, 6.406]], "species": ["Rb", "Ba", "Ba", "Ba", "Fe"], "frac_coords": [[0.000, 0.000, 0.000], [0.000, 0.000, 0.500], [0.000, 0.500, 0.000], [0.500, 0.000, 0.000], [0.500, 0.500, 0.500]], "relative_energy_mev_per_atom": 1182, "sg": "Pm-3m, No. 221", "e_form_ev_per_fu": 8.44, "dos_ef_per_ev_fu": 18.98, "e_tot_ev_per_atom": -1.3520}

No. 3
{"formula": "Rb2ZrF6", "functional": "PBE", "state": "relaxed", "cell": [[6.256, 0.000, 0.000], [-3.128, 5.418, 0.000], [0.000, 0.000, 4.920]], "species": ["Rb", "Rb", "Zr", "F", "F", "F", "F", "F", "F"], "frac_coords": [[0.333, 0.667, 0.188], [0.667, 0.333, 0.812], [0.000, 0.000, 0.500], [0.158, 0.315, 0.728], [0.158, 0.842, 0.728], [0.315, 0.158, 0.272], [0.685, 0.842, 0.728], [0.842, 0.158, 0.272], [0.842, 0.685, 0.272]], "sg": "P-3m1, No. 164", "dos_ef_per_ev_fu": 0.00, "e_tot_ev_per_atom": -5.7931, "e_form_raw_ev_per_fu": -30.43}

No. 4
{"formula": "ZrSnHAu2", "functional": "PBE", "state": "relaxed", "cell": [[4.372, 0.000, 0.000], [0.000, 4.372, 0.000], [0.000, 0.000, 4.353]], "species": ["Zr", "Sn", "H", "Au", "Au"], "frac_coords": [[0.000, 0.000, 0.000], [0.500, 0.500, 0.000], [0.000, 0.000, 0.500], [0.000, 0.500, 0.500], [0.500, 0.000, 0.500]], "sg": "P4/mmm, No. 123", "dos_ef_per_ev_fu": 0.31, "e_tot_ev_per_atom": -4.7259}

No. 5
{"formula": "Ce3Co2Sn4", "functional": "PBE", "state": "relaxed", "cell": [[5.530, -2.355, 0.000], [5.530, 2.355, 0.000], [-1.356, 0.000, 8.463]], "species": ["Ce", "Ce", "Ce", "Co", "Co", "Sn", "Sn", "Sn", "Sn"], "frac_coords": [[0.000, 0.000, 0.000], [0.373, 0.373, 0.324], [0.627, 0.627, 0.676], [0.436, 0.436, 0.715], [0.564, 0.564, 0.285], [0.100, 0.100, 0.401], [0.281, 0.281, 0.907], [0.719, 0.719, 0.093], [0.900, 0.900, 0.599]], "sg": "C2/m, No. 12", "e_form_ev_per_fu": -4.29, "dos_ef_per_ev_fu": 10.76, "e_tot_ev_per_atom": -5.8127}

No. 6
{"formula": "Cs6AuI2Br3", "functional": "PBE", "state": "relaxed", "cell": [[11.648, -2.662, 0.000], [11.648, 2.662, 0.000], [-2.503, 0.000, 10.415]], "species": ["Cs", "Cs", "Cs", "Cs", "Cs", "Cs", "Au", "I", "I", "Br", "Br", "Br"], "frac_coords": [[0.004, 0.004, 0.251], [0.333, 0.333, 0.428], [0.337, 0.337, 0.908], [0.663, 0.663, 0.092], [0.667, 0.667, 0.572], [0.996, 0.996, 0.749], [0.500, 0.500, 0.500], [0.166, 0.166, 0.832], [0.834, 0.834, 0.168], [0.167, 0.167, 0.334], [0.500, 0.500, 0.000], [0.833, 0.833, 0.666]], "sg": "C2/m, No. 12", "dos_ef_per_ev_fu": 0.00, "e_tot_ev_per_atom": -2.8365, "e_form_raw_ev_per_fu": -17.52}

No. 7
{"formula": "KBa3", "functional": "PBE", "state": "relaxed", "cell": [[-3.187, 3.187, 13.102], [3.187, -3.187, 13.102], [3.187, 3.187, -13.102]], "species": ["K", "K", "Ba", "Ba", "Ba", "Ba", "Ba", "Ba"], "frac_coords": [[0.126, 0.126, 0.000], [0.874, 0.874, 0.000], [0.000, 0.500, 0.500], [0.250, 0.750, 0.500], [0.376, 0.376, 0.000], [0.500, 0.000, 0.500], [0.624, 0.624, 0.000], [0.750, 0.250, 0.500]], "relative_energy_mev_per_atom": 51, "sg": "I4/mmm, No. 139", "e_form_ev_per_fu": 0.39, "dos_ef_per_ev_fu": 5.06, "e_tot_ev_per_atom": -1.6187}

No. 8
{"formula": "Os2Pt2W3", "functional": "PBE", "state": "relaxed", "cell": [[2.097, -9.404, 0.000], [2.097, 9.404, 0.000], [0.000, 0.000, 2.754]], "species": ["Os", "Os", "Pt", "Pt", "W", "W", "W"], "frac_coords": [[0.213, 0.787, 0.000], [0.787, 0.213, 0.000], [0.072, 0.928, 0.000], [0.928, 0.072, 0.000], [0.346, 0.654, 0.500], [0.500, 0.500, 0.500], [0.654, 0.346, 0.500]], "sg": "Cmmm, No. 65", "e_form_ev_per_fu": -0.13, "dos_ef_per_ev_fu": 6.08, "e_tot_ev_per_atom": -10.5039}

Please write out number 3 again, unchanged.
{"formula": "Rb2ZrF6", "functional": "PBE", "state": "relaxed", "cell": [[6.256, 0.000, 0.000], [-3.128, 5.418, 0.000], [0.000, 0.000, 4.920]], "species": ["Rb", "Rb", "Zr", "F", "F", "F", "F", "F", "F"], "frac_coords": [[0.333, 0.667, 0.188], [0.667, 0.333, 0.812], [0.000, 0.000, 0.500], [0.158, 0.315, 0.728], [0.158, 0.842, 0.728], [0.315, 0.158, 0.272], [0.685, 0.842, 0.728], [0.842, 0.158, 0.272], [0.842, 0.685, 0.272]], "sg": "P-3m1, No. 164", "dos_ef_per_ev_fu": 0.00, "e_tot_ev_per_atom": -5.7931, "e_form_raw_ev_per_fu": -30.43}